Entry from Alexandria: a relaxed structure of CsThCr2O8 (PBE with a Hubbard U).

Cell and atoms, written as CIF:
```
data_CsThCr2O8
_chemical_formula_sum 'Cs1 Th1 Cr2 O8'
_symmetry_space_group_name_H-M 'P -3'
_symmetry_Int_Tables_number 147
_cell_length_a 5.9429
_cell_length_b 5.9429
_cell_length_c 8.5910
_cell_angle_alpha 90.00
_cell_angle_beta 90.00
_cell_angle_gamma 120.00
loop_
_symmetry_equiv_pos_as_xyz
'x,y,z'
'-x,-y,-z'
'-y,x-y,z'
'y,-x+y,-z'
'-x+y,-x,z'
'x-y,x,-z'
loop_
_atom_site_label
_atom_site_type_symbol
_atom_site_fract_x
_atom_site_fract_y
_atom_site_fract_z
Cs1 Cs 0.0000 0.0000 0.0000
Th1 Th 0.0000 0.0000 0.5000
Cr1 Cr 0.3333 0.6667 0.7311
O1 O 0.1738 0.3532 0.6632
O2 O 0.3333 0.6667 0.9208
```

Results
final energy	-86.9	eV for the cell shown
volume	262.8	Å³/cell